Entry from Alexandria: an optimized crystal structure of CoMoRh2 (PBE). Values from VASP.

```
&SYSTEM
  ibrav = 0, nat = 4, ntyp = 3
/
ATOMIC_SPECIES
Rh 102.91 Rh.upf
Mo 95.94 Mo.upf
Co 58.93 Co.upf
CELL_PARAMETERS angstrom
4.660 -0.005 0.012
3.868 2.598 0.012
0.811 0.247 4.578
ATOMIC_POSITIONS angstrom
Rh 0.011 0.003 0.056
Rh 7.021 2.135 3.367
Mo 2.302 0.700 1.138
Co 4.674 1.421 2.343
```

Properties
Energy relative to the lowest polymorph listed for this composition: 112 meV per atom
Magnetization: 0.458 μB/atom
Formation energy: -0.002 eV/atom
Total DFT energy (no corrections): -32.65 eV per formula unit

Entry from Alexandria: an optimized crystal structure of HfTa3Cr8 (PBE). Values from VASP.

```
&SYSTEM
  ibrav = 0, nat = 12, ntyp = 3
/
ATOMIC_SPECIES
Cr 52.00 Cr.upf
Ta 180.95 Ta.upf
Hf 178.49 Hf.upf
CELL_PARAMETERS angstrom
-0.687 1.573 -4.614
-3.514 -2.603 2.262
-3.256 6.844 2.818
ATOMIC_POSITIONS angstrom
Cr -3.857 -0.223 1.832
Cr -4.196 2.204 1.376
Cr -4.880 5.419 -1.344
Cr -2.815 5.926 -0.187
Cr -4.543 4.646 0.925
Cr -2.574 -1.206 -0.028
Cr -4.206 0.576 -0.511
Cr -2.072 1.100 0.683
Ta -3.066 6.445 2.654
Ta -3.052 3.172 -1.091
Ta -1.826 0.594 -2.152
Hf -1.827 3.839 1.581
```

Properties
Magnetization: 0.000 μB/atom
Formation energy: -0.126 eV/atom
Total DFT energy (no corrections): -124.01 eV per formula unit

- Which value of magnetization does entry 1 give?
  0.458 μB/atom

- The lowest magnetization belongs to which entry?
  HfTa3Cr8

- magnetization of number 1 (CoMoRh2)?
  0.458 μB/atom

- The lowest total DFT energy (no corrections) belongs to which entry?
  HfTa3Cr8